Entry 1:
Computed, not measured: ScGe3Rh after structural relaxation at the PBE level of DFT.

```
data_ScGe3Rh
_chemical_formula_sum 'Sc1 Ge3 Rh1'
_cell_length_a 4.9431
_cell_length_b 4.9431
_cell_length_c 4.9431
_cell_angle_alpha 90.00
_cell_angle_beta 90.00
_cell_angle_gamma 90.00
_space_group_name_H-M_alt 'P 1'
_space_group_IT_number 1
loop_
_space_group_symop_operation_xyz
'x,y,z'
loop_
_atom_site_label
_atom_site_type_symbol
_atom_site_fract_x
_atom_site_fract_y
_atom_site_fract_z
Sc1 Sc 0.0000 0.0000 0.0000
Ge1 Ge 0.0000 0.0000 0.5000
Ge2 Ge 0.0000 0.5000 0.0000
Ge3 Ge 0.5000 0.0000 0.0000
Rh1 Rh 0.5000 0.5000 0.5000
```

Properties
The density of states at the Fermi level is 5.1 states/eV/f.u. As for the volume: 120.78 Å³ per cell. As for the total energy: -4.5390 eV/atom. As for the energy of formation: 0.968 eV per atom.

---

Entry 2:
Computed, not measured: ScGe2Rh4 after structural relaxation at the PBE level of DFT.

```
data_ScGe2Rh4
_chemical_formula_sum 'Sc1 Ge2 Rh4'
_cell_length_a 7.0000
_cell_length_b 7.0000
_cell_length_c 7.0000
_cell_angle_alpha 141.30
_cell_angle_beta 141.30
_cell_angle_gamma 55.89
_space_group_name_H-M_alt 'P 1'
_space_group_IT_number 1
loop_
_space_group_symop_operation_xyz
'x,y,z'
loop_
_atom_site_label
_atom_site_type_symbol
_atom_site_fract_x
_atom_site_fract_y
_atom_site_fract_z
Sc1 Sc 0.0000 0.0000 0.0000
Ge1 Ge 0.3891 0.3891 0.0000
Ge2 Ge 0.6109 0.6109 0.0000
Rh1 Rh 0.0000 0.5000 0.5000
Rh2 Rh 0.2008 0.2008 0.0000
Rh3 Rh 0.5000 0.0000 0.5000
Rh4 Rh 0.7992 0.7992 0.0000
```

Properties
For the polymorph energy (0 for the lowest one), the calculation gives 1111.5 meV per atom. The density of states at the Fermi level is 4.9 states/eV/f.u. As for the volume: 133.09 Å³ per cell. As for the total energy: -6.0360 eV/atom. As for the energy of formation: 0.389 eV per atom.

---

Entry 3:
Computed, not measured: Sc2Ge5Rh3 after structural relaxation at the PBE level of DFT.

```
data_Sc2Ge5Rh3
_chemical_formula_sum 'Sc4 Ge10 Rh6'
_cell_length_a 12.3132
_cell_length_b 12.3132
_cell_length_c 6.7217
_cell_angle_alpha 90.00
_cell_angle_beta 90.00
_cell_angle_gamma 160.75
_space_group_name_H-M_alt 'P 1'
_space_group_IT_number 1
loop_
_space_group_symop_operation_xyz
'x,y,z'
loop_
_atom_site_label
_atom_site_type_symbol
_atom_site_fract_x
_atom_site_fract_y
_atom_site_fract_z
Sc1 Sc 0.0203 0.9797 0.5000
Sc2 Sc 0.3245 0.6755 0.4927
Sc3 Sc 0.6755 0.3245 0.9927
Sc4 Sc 0.9797 0.0203 0.0000
Ge1 Ge 0.1014 0.8986 0.8633
Ge2 Ge 0.2060 0.7940 0.2809
Ge3 Ge 0.2078 0.7922 0.7196
Ge4 Ge 0.3844 0.6156 0.9769
Ge5 Ge 0.4551 0.5449 0.6635
Ge6 Ge 0.5449 0.4551 0.1635
Ge7 Ge 0.6156 0.3844 0.4769
Ge8 Ge 0.7922 0.2078 0.2196
Ge9 Ge 0.7940 0.2060 0.7809
Ge10 Ge 0.8986 0.1014 0.3633
Rh1 Rh 0.1050 0.8950 0.2334
Rh2 Rh 0.2795 0.7205 0.0012
Rh3 Rh 0.4465 0.5535 0.2816
Rh4 Rh 0.5535 0.4465 0.7816
Rh5 Rh 0.7205 0.2795 0.5012
Rh6 Rh 0.8950 0.1050 0.7334
```

Properties
The density of states at the Fermi level is 3.8 states/eV/f.u. As for the volume: 335.92 Å³ per cell. As for the total energy: -6.4891 eV/atom. As for the energy of formation: -0.709 eV per atom.

---

Entry 4:
Computed, not measured: ScGe4Rh5 after structural relaxation at the PBE level of DFT.

```
data_ScGe4Rh5
_chemical_formula_sum 'Sc2 Ge8 Rh10'
_cell_length_a 7.2362
_cell_length_b 8.3414
_cell_length_c 5.5624
_cell_angle_alpha 90.00
_cell_angle_beta 90.00
_cell_angle_gamma 90.00
_space_group_name_H-M_alt 'P 1'
_space_group_IT_number 1
loop_
_space_group_symop_operation_xyz
'x,y,z'
loop_
_atom_site_label
_atom_site_type_symbol
_atom_site_fract_x
_atom_site_fract_y
_atom_site_fract_z
Sc1 Sc 0.2500 0.2500 0.0297
Sc2 Sc 0.7500 0.7500 0.9703
Ge1 Ge 0.0674 0.2500 0.5518
Ge2 Ge 0.2500 0.5858 0.9611
Ge3 Ge 0.2500 0.9142 0.9611
Ge4 Ge 0.4326 0.2500 0.5518
Ge5 Ge 0.5674 0.7500 0.4482
Ge6 Ge 0.7500 0.0858 0.0389
Ge7 Ge 0.7500 0.4142 0.0389
Ge8 Ge 0.9326 0.7500 0.4482
Rh1 Rh 0.0304 0.0126 0.2584
Rh2 Rh 0.0304 0.4874 0.2584
Rh3 Rh 0.2500 0.7500 0.6038
Rh4 Rh 0.4696 0.0126 0.2584
Rh5 Rh 0.4696 0.4874 0.2584
Rh6 Rh 0.5304 0.5126 0.7416
Rh7 Rh 0.5304 0.9874 0.7416
Rh8 Rh 0.7500 0.2500 0.3962
Rh9 Rh 0.9696 0.5126 0.7416
Rh10 Rh 0.9696 0.9874 0.7416
```

Properties
The density of states at the Fermi level is 4.3 states/eV/f.u. As for the volume: 335.74 Å³ per cell. As for the total energy: -6.6464 eV/atom. As for the energy of formation: -0.491 eV per atom.